Here is crystalline Y6CdIn2 at its relaxed geometry from Alexandria via LeMat-Bulk. Energies are from PBE.

CIF file:
```
data_Y6CdIn2
_chemical_formula_sum 'Y12 Cd2 In4'
_space_group_name_H-M_alt 'P 1'
_space_group_IT_number 1
_space_group_name_Hall 'P 1'
_cell_length_a 5.952
_cell_length_b 9.092
_cell_length_c 9.845
_cell_angle_alpha 90.00
_cell_angle_beta 84.82
_cell_angle_gamma 90.00
loop_
_atom_site_label
_atom_site_fract_x
_atom_site_fract_y
_atom_site_fract_z
Y1 0.913 0.977 0.191
Y2 0.919 0.666 0.569
Y3 0.953 0.674 0.935
Y4 0.547 0.174 0.565
Y5 0.581 0.166 0.931
Y6 0.587 0.477 0.309
Y7 0.087 0.023 0.809
Y8 0.081 0.334 0.431
Y9 0.047 0.326 0.065
Y10 0.453 0.826 0.435
Y11 0.419 0.834 0.069
Y12 0.413 0.523 0.691
Cd1 0.500 0.500 0.000
Cd2 0.000 0.000 0.500
In1 0.927 0.363 0.748
In2 0.573 0.863 0.752
In3 0.427 0.137 0.248
In4 0.073 0.637 0.252
```

Output
Total moment = 0.004 μB per cell
Formation energy from the elements = -1.93 eV per formula unit
Calculated volume = 265.3 Å³/f.u.
D(E_F) = 1.3373 states/eV per atom